[1]
# AlMoPb (meta-GGA SCAN, single point on PBEsol structure)
data_AlMoPb
_chemical_formula_sum 'Al2 Mo2 Pb2'
_cell_length_a 3.423
_cell_length_b 3.423
_cell_length_c 9.253
_cell_angle_alpha 90.00
_cell_angle_beta 90.00
_cell_angle_gamma 90.00
_space_group_name_H-M_alt 'I 4 m m'
_space_group_IT_number 107
_space_group_name_Hall 'I 4 -2'
loop_
_atom_site_label
_atom_site_fract_x
_atom_site_fract_y
_atom_site_fract_z
_atom_site_occupancy
Al1 0.000 0.000 0.000 1
Mo1 0.000 0.000 0.369 1
Pb1 0.000 0.000 0.690 1
# Fermi-level density of states, states/eV/f.u.: 3.0
# Formation energy from the elements, eV/f.u.: 0.89
# Uncorrected energy, eV per atom: -39.18
# Crystal system: tetragonal

[2]
# Y2CrP (meta-GGA SCAN, single point on PBEsol structure)
data_Y2CrP
_chemical_formula_sum 'Y2 Cr1 P1'
_cell_length_a 4.741
_cell_length_b 4.741
_cell_length_c 3.626
_cell_angle_alpha 90.00
_cell_angle_beta 90.00
_cell_angle_gamma 90.00
_space_group_name_H-M_alt 'P 4/m m m'
_space_group_IT_number 123
_space_group_name_Hall '-P 4 2'
loop_
_atom_site_label
_atom_site_fract_x
_atom_site_fract_y
_atom_site_fract_z
_atom_site_occupancy
Y1 0.000 0.500 0.000 1
Cr1 0.000 0.000 0.500 1
P1 0.500 0.500 0.500 1
# Fermi-level density of states, states/eV/f.u.: 2.2
# Formation energy from the elements, eV/f.u.: -1.97
# Uncorrected energy, eV per atom: -21.61
# Crystal system: tetragonal

[3]
# YAlCdBi2 (meta-GGA SCAN, single point on PBEsol structure)
data_YAlCdBi2
_chemical_formula_sum 'Y1 Al1 Cd1 Bi2'
_cell_length_a 5.338
_cell_length_b 5.338
_cell_length_c 5.511
_cell_angle_alpha 90.00
_cell_angle_beta 90.00
_cell_angle_gamma 90.00
_space_group_name_H-M_alt 'P 4/m m m'
_space_group_IT_number 123
_space_group_name_Hall '-P 4 2'
loop_
_atom_site_label
_atom_site_fract_x
_atom_site_fract_y
_atom_site_fract_z
_atom_site_occupancy
Y1 0.000 0.000 0.000 1
Al1 0.000 0.000 0.500 1
Cd1 0.500 0.500 0.000 1
Bi1 0.000 0.500 0.500 1
# Fermi-level density of states, states/eV/f.u.: 2.1
# Formation energy from the elements, eV/f.u.: 1.39
# Uncorrected energy, eV per atom: -44.36
# Crystal system: tetragonal

[4]
# Y5Au4 (meta-GGA SCAN, single point on PBEsol structure)
data_Y5Au4
_chemical_formula_sum 'Y10 Au8'
_cell_length_a 8.7124
_cell_length_b 8.7124
_cell_length_c 6.4838
_cell_angle_alpha 90.00
_cell_angle_beta 90.00
_cell_angle_gamma 120.00
_space_group_name_H-M_alt 'P 63/m c m'
_space_group_IT_number 193
_space_group_name_Hall '-P 6c 2'
loop_
_atom_site_label
_atom_site_fract_x
_atom_site_fract_y
_atom_site_fract_z
_atom_site_occupancy
Y1 0.0000 0.2764 0.2500 1
Y2 0.3333 0.6667 0.0000 1
Au1 0.0000 0.0000 0.0000 1
Au2 0.0000 0.3928 0.7500 1
# Fermi-level density of states, states/eV/f.u.: 6.9
# Formation energy from the elements, eV/f.u.: -8.84
# Uncorrected energy, eV per atom: -47.19
# Crystal system: hexagonal

[5]
# K3Cu (meta-GGA SCAN, single point on PBEsol structure)
data_K3Cu
_chemical_formula_sum 'K9 Cu3'
_cell_length_a 11.8866
_cell_length_b 11.8866
_cell_length_c 4.3933
_cell_angle_alpha 90.00
_cell_angle_beta 90.00
_cell_angle_gamma 120.00
_space_group_name_H-M_alt 'R -3 m'
_space_group_IT_number 166
_space_group_name_Hall '-R 3 2"'
loop_
_atom_site_label
_atom_site_fract_x
_atom_site_fract_y
_atom_site_fract_z
_atom_site_occupancy
K1 0.0000 0.5000 0.0000 1
Cu1 0.0000 0.0000 0.0000 1
# Fermi-level density of states, states/eV/f.u.: 2.5
# Formation energy from the elements, eV/f.u.: 1.99
# Uncorrected energy, eV per atom: -9.55
# Crystal system: trigonal

[6]
# ZrNi4P2 (meta-GGA SCAN, single point on PBEsol structure)
data_ZrNi4P2
_chemical_formula_sum 'Zr2 Ni8 P4'
_cell_length_a 6.847
_cell_length_b 6.847
_cell_length_c 3.543
_cell_angle_alpha 90.00
_cell_angle_beta 90.00
_cell_angle_gamma 90.00
_space_group_name_H-M_alt 'P 42/m n m'
_space_group_IT_number 136
_space_group_name_Hall '-P 4n 2n'
loop_
_atom_site_label
_atom_site_fract_x
_atom_site_fract_y
_atom_site_fract_z
_atom_site_occupancy
Zr1 0.000 0.000 0.000 1
Ni1 0.085 0.335 0.500 1
P1 0.220 0.780 0.500 1
# Fermi-level density of states, states/eV/f.u.: 5.5
# Formation energy from the elements, eV/f.u.: -5.91
# Uncorrected energy, eV per atom: -17.44
# Crystal system: tetragonal

[7]
# Te2Au (meta-GGA SCAN, single point on PBEsol structure)
data_Te2Au
_chemical_formula_sum 'Te8 Au4'
_cell_length_a 3.924
_cell_length_b 20.978
_cell_length_c 3.720
_cell_angle_alpha 90.00
_cell_angle_beta 90.00
_cell_angle_gamma 90.00
_space_group_name_H-M_alt 'C m c m'
_space_group_IT_number 63
_space_group_name_Hall '-C 2c 2'
loop_
_atom_site_label
_atom_site_fract_x
_atom_site_fract_y
_atom_site_fract_z
_atom_site_occupancy
Te1 0.000 0.059 0.250 1
Te2 0.000 0.207 0.750 1
Au1 0.000 0.385 0.250 1
# Fermi-level density of states, states/eV/f.u.: 1.6
# Energy relative to the elements, uncorrected, eV/atom: 0.1013
# Uncorrected energy, eV per atom: -47.79
# Crystal system: orthorhombic

[8]
# Mg2CdRe (meta-GGA SCAN, single point on PBEsol structure)
data_Mg2CdRe
_chemical_formula_sum 'Mg2 Cd1 Re1'
_cell_length_a 4.189
_cell_length_b 4.189
_cell_length_c 3.922
_cell_angle_alpha 90.00
_cell_angle_beta 90.00
_cell_angle_gamma 90.00
_space_group_name_H-M_alt 'P 4/m m m'
_space_group_IT_number 123
_space_group_name_Hall '-P 4 2'
loop_
_atom_site_label
_atom_site_fract_x
_atom_site_fract_y
_atom_site_fract_z
_atom_site_occupancy
Mg1 0.000 0.500 0.000 1
Cd1 0.000 0.000 0.500 1
Re1 0.500 0.500 0.500 1
# Fermi-level density of states, states/eV/f.u.: 1.2
# Formation energy from the elements, eV/f.u.: 1.31
# Uncorrected energy, eV per atom: -27.54
# Crystal system: tetragonal

Question: Look up the Fermi-level density of states of the eighth one.
Answer: 1.2 states/eV/f.u.

Question: What is the formula in the second record?
Answer: Y2CrP